[1]
Th12Hg3H5: optimized geometry, GGA-PBE.

abc: 13.805 13.805 13.805
angles: 109.47 109.47 109.47
Fractional positions:
Th: 0.013 0.200 0.107
Th: 0.013 0.313 0.905
Th: 0.092 0.700 0.687
Th: 0.092 0.893 0.405
Th: 0.095 0.607 0.408
Th: 0.095 0.987 0.687
Th: 0.107 0.013 0.200
Th: 0.107 0.595 0.908
Th: 0.187 0.200 0.592
Th: 0.187 0.487 0.595
Th: 0.200 0.107 0.013
Th: 0.200 0.592 0.187
Th: 0.300 0.313 0.908
Th: 0.300 0.487 0.393
Th: 0.313 0.905 0.013
Th: 0.313 0.908 0.300
Th: 0.393 0.300 0.487
Th: 0.393 0.592 0.905
Th: 0.405 0.092 0.893
Th: 0.405 0.813 0.513
Th: 0.408 0.095 0.607
Th: 0.408 0.813 0.800
Th: 0.487 0.393 0.300
Th: 0.487 0.595 0.187
Th: 0.513 0.405 0.813
Th: 0.513 0.607 0.700
Th: 0.592 0.187 0.200
Th: 0.592 0.905 0.393
Th: 0.595 0.187 0.487
Th: 0.595 0.908 0.107
Th: 0.607 0.408 0.095
Th: 0.607 0.700 0.513
Th: 0.687 0.092 0.700
Th: 0.687 0.095 0.987
Th: 0.700 0.513 0.607
Th: 0.700 0.687 0.092
Th: 0.800 0.408 0.813
Th: 0.800 0.893 0.987
Th: 0.813 0.513 0.405
Th: 0.813 0.800 0.408
Th: 0.893 0.405 0.092
Th: 0.893 0.987 0.800
Th: 0.905 0.013 0.313
Th: 0.905 0.393 0.592
Th: 0.908 0.107 0.595
Th: 0.908 0.300 0.313
Th: 0.987 0.687 0.095
Th: 0.987 0.800 0.893
Hg: 0.125 0.250 0.375
Hg: 0.125 0.375 0.750
Hg: 0.250 0.375 0.125
Hg: 0.250 0.875 0.625
Hg: 0.375 0.125 0.250
Hg: 0.375 0.750 0.125
Hg: 0.625 0.250 0.875
Hg: 0.625 0.875 0.750
Hg: 0.750 0.125 0.375
Hg: 0.750 0.625 0.875
Hg: 0.875 0.625 0.250
Hg: 0.875 0.750 0.625
H: 0.000 0.000 0.000
H: 0.000 0.000 0.500
H: 0.000 0.500 0.000
H: 0.000 0.500 0.500
H: 0.125 0.750 0.875
H: 0.125 0.875 0.250
H: 0.250 0.125 0.875
H: 0.250 0.625 0.375
H: 0.375 0.250 0.625
H: 0.375 0.625 0.750
H: 0.500 0.000 0.000
H: 0.500 0.000 0.500
H: 0.500 0.500 0.000
H: 0.500 0.500 0.500
H: 0.625 0.375 0.250
H: 0.625 0.750 0.375
H: 0.750 0.375 0.625
H: 0.750 0.875 0.125
H: 0.875 0.125 0.750
H: 0.875 0.250 0.125

## Properties
The final energy comes out at -0.19614 hartree per atom. Its space group is Ia-3d (230).



[2]
CeGa4Au2: optimized geometry, GGA-PBE.

abc: 17.428 4.542 6.845
angles: 90.00 90.00 90.00
Fractional positions:
Ce: 0.140 0.250 0.012
Ce: 0.360 0.750 0.512
Ce: 0.640 0.250 0.488
Ce: 0.860 0.750 0.988
Ga: 0.039 0.750 0.842
Ga: 0.066 0.250 0.470
Ga: 0.182 0.750 0.320
Ga: 0.187 0.750 0.724
Ga: 0.313 0.250 0.224
Ga: 0.318 0.250 0.820
Ga: 0.434 0.750 0.970
Ga: 0.461 0.250 0.342
Ga: 0.539 0.750 0.658
Ga: 0.566 0.250 0.030
Ga: 0.682 0.750 0.180
Ga: 0.687 0.750 0.776
Ga: 0.813 0.250 0.276
Ga: 0.818 0.250 0.680
Ga: 0.934 0.750 0.530
Ga: 0.961 0.250 0.158
Au: 0.032 0.750 0.240
Au: 0.216 0.250 0.527
Au: 0.284 0.750 0.027
Au: 0.468 0.250 0.740
Au: 0.532 0.750 0.260
Au: 0.716 0.250 0.973
Au: 0.784 0.750 0.473
Au: 0.968 0.250 0.760

## Properties
The formation energy is -0.4943 eV per atom. Its energy above the most stable polymorph in this dataset is 0 meV per atom. Its space group is Pnma (62).



[3]
TiNiIrPd: optimized geometry, GGA-PBE.

abc: 4.312 4.312 4.312
angles: 60.00 60.00 60.00
Fractional positions:
Ti: 0.000 0.000 0.000
Ni: 0.500 0.500 0.500
Ir: 0.750 0.750 0.750
Pd: 0.250 0.250 0.250

## Properties
The formation energy is -0.3984 eV per atom. Its space group is F-43m (216).



[4]
La2PrSmSe4: optimized geometry, GGA-PBE.

abc: 7.393 4.239 7.421
angles: 90.00 109.20 90.00
Fractional positions:
La: 0.000 0.000 0.000
La: 0.000 0.500 0.500
Pr: 0.500 0.000 0.500
Sm: 0.500 0.500 0.000
Se: 0.254 0.500 0.248
Se: 0.257 0.000 0.756
Se: 0.743 0.000 0.244
Se: 0.746 0.500 0.752

## Properties
The calculation puts the uncorrected formation energy at -1.918 eV/atom. Its space group is P2/m (10).



[5]
Ce3MgPa2N6: optimized geometry, GGA-PBE.

abc: 6.001 6.001 6.140
angles: 99.33 99.33 120.01
Fractional positions:
Ce: 0.000 0.000 0.000
Ce: 0.335 0.665 0.000
Ce: 0.665 0.335 0.000
Mg: 0.500 0.500 0.500
Pa: 0.167 0.833 0.500
Pa: 0.833 0.167 0.500
N: 0.087 0.425 0.276
N: 0.237 0.237 0.726
N: 0.425 0.087 0.276
N: 0.575 0.913 0.724
N: 0.763 0.763 0.274
N: 0.913 0.575 0.724

## Properties
The calculation puts the uncorrected formation energy at -1.424 eV/atom. Its space group is C2/m (12).



[6]
TiAg2Te: optimized geometry, GGA-PBE.

abc: 6.232 6.232 6.232
angles: 100.99 100.99 128.22
Fractional positions:
Ti: 0.000 0.000 0.000
Ti: 0.750 0.250 0.500
Ag: 0.123 0.125 0.498
Ag: 0.375 0.877 0.002
Ag: 0.627 0.625 0.502
Ag: 0.875 0.373 0.998
Te: 0.250 0.750 0.500
Te: 0.500 0.500 0.000

## Properties
The calculation puts the uncorrected formation energy at 0.160 eV/atom. Its space group is I-42d (122).



Number 1: size of the total moment 0.00 Bohr magnetons per cell, ρ 11.1 Mg/m³, volume 25.32 Å³/atom. Number 2: size of the total moment 2.32 Bohr magnetons per cell, ρ 10.0 Mg/m³, volume 19.35 Å³/atom. Number 3: size of the total moment 0.73 Bohr magnetons per cell, ρ 11.9 Mg/m³, volume 14.17 Å³/atom. Number 4: size of the total moment 0.00 Bohr magnetons per cell, ρ 6.7 Mg/m³, volume 27.45 Å³/atom. Number 5: size of the total moment 0.00 Bohr magnetons per cell, ρ 9.1 Mg/m³, volume 15.09 Å³/atom. Number 6: size of the total moment 0.00 Bohr magnetons per cell, ρ 7.6 Mg/m³, volume 21.39 Å³/atom.